Below is a relaxed structure of HfTlSb2, with properties calculated at the PBE-GGA level.

## Properties
Formation energy (no corrections), kJ/mol of atoms: -16
Final energy, eV/atom: -5.31
Energy above the lowest structure with this stoichiometry, meV/atom: 18

Unit cell a=3.759 b=3.759 c=7.463 alpha=90.00 beta=90.00 gamma=90.00
Space group P4/mmm (No. 123)
Asymmetric unit:
Hf 0.000 0.000 0.000 [1 per cell]
Tl 0.000 0.000 0.500 [1 per cell]
Sb 0.500 0.500 0.203 [2 per cell]